Below is crystalline Hg2MoSe at its relaxed geometry, with properties calculated at the PBE level.

Cell lengths 3.9885, 3.9885, 10.9906 Å; angles 90.00, 90.00, 90.00 degrees
Space group I4/mmm (No. 139)
Symmetry-distinct sites (fractional):
Hg (0.0000, 0.5000, 0.2500) [4 per cell]
Mo (0.0000, 0.0000, 0.0000) [2 per cell]
Se (0.0000, 0.0000, 0.5000) [2 per cell]

Results
Formation energy without anion corrections in eV/atom: 0.59
Calculated volume in Å³/atom: 21.86
Fermi-level density of states in states/eV/cell: 5.311



Below is crystalline Hg2MoSe at its relaxed geometry, with properties calculated at the PBE level.

Cell lengths 3.8117, 3.8117, 5.7176 Å; angles 90.00, 90.00, 90.00 degrees
Space group P4/mmm (No. 123)
Symmetry-distinct sites (fractional):
Hg (0.0000, 0.0000, 0.2459) [2 per cell]
Mo (0.5000, 0.5000, 0.0000) [1 per cell]
Se (0.5000, 0.5000, 0.5000) [1 per cell]

Results
Formation energy without anion corrections in eV/atom: 0.66
Calculated volume in Å³/atom: 20.77
Fermi-level density of states in states/eV/cell: 3.606



Below is crystalline Hg2MoSe at its relaxed geometry, with properties calculated at the PBE level.

Cell lengths 9.6784, 9.6784, 4.7650 Å; angles 90.00, 90.00, 90.00 degrees
Space group I-42d (No. 122)
Symmetry-distinct sites (fractional):
Hg (0.1351, 0.2500, 0.1250) [8 per cell]
Mo (0.0000, 0.0000, 0.0000) [4 per cell]
Se (0.0000, 0.0000, 0.5000) [4 per cell]

Results
Formation energy without anion corrections in eV/atom: 0.44
Calculated volume in Å³/atom: 27.90
Fermi-level density of states in states/eV/cell: 10.134



Below is crystalline HgMo2Se at its relaxed geometry, with properties calculated at the PBE level.

Cell lengths 3.1865, 4.9058, 9.0443 Å; angles 90.00, 90.00, 90.00 degrees
Space group Immm (No. 71)
Symmetry-distinct sites (fractional):
Hg (0.0000, 0.0000, 0.0000) [2 per cell]
Mo (0.0000, 0.5000, 0.2166) [4 per cell]
Se (0.0000, 0.0000, 0.5000) [2 per cell]

Results
Formation energy without anion corrections in eV/atom: 0.61
Energy above the most stable polymorph in this dataset in meV/atom: 418
Calculated volume in Å³/atom: 17.67
Fermi-level density of states in states/eV/cell: 9.950



Below is crystalline HgMo2Se at its relaxed geometry, with properties calculated at the PBE level.

Cell lengths 4.5838, 3.0514, 10.6319 Å; angles 90.00, 90.00, 90.00 degrees
Space group Amm2 (No. 38)
Symmetry-distinct sites (fractional):
Hg (0.0000, 0.0000, 0.0000) [2 per cell]
Mo (0.0000, 0.0000, 0.2578) [2 per cell]
Mo (0.5000, 0.0000, 0.6621) [2 per cell]
Se (0.5000, 0.0000, 0.3487) [2 per cell]

Results
Formation energy without anion corrections in eV/atom: 0.36
Energy above the most stable polymorph in this dataset in meV/atom: 164
Calculated volume in Å³/atom: 18.59
Fermi-level density of states in states/eV/cell: 5.282



Below is crystalline Hg2MoSe at its relaxed geometry, with properties calculated at the PBE level.

Cell lengths 3.2434, 3.2434, 26.9543 Å; angles 90.00, 90.00, 120.00 degrees
Space group R-3m (No. 166, hexagonal axes)
Symmetry-distinct sites (fractional):
Hg (0.0000, 0.0000, 0.2485) [6 per cell]
Mo (0.0000, 0.0000, 0.5000) [3 per cell]
Se (0.0000, 0.0000, 0.0000) [3 per cell]

Results
Formation energy without anion corrections in eV/atom: 0.62
Calculated volume in Å³/atom: 20.46
Fermi-level density of states in states/eV/cell: 10.660



Below is crystalline Hg2MoSe at its relaxed geometry, with properties calculated at the PBE level.

Cell lengths 3.1644, 4.6620, 13.3961 Å; angles 90.00, 90.00, 90.00 degrees
Space group Amm2 (No. 38)
Symmetry-distinct sites (fractional):
Hg (0.0000, 0.0000, 0.0000) [2 per cell]
Hg (0.5000, 0.0000, 0.3372) [2 per cell]
Mo (0.0000, 0.0000, 0.7903) [2 per cell]
Se (0.5000, 0.0000, 0.6511) [2 per cell]

Results
Formation energy without anion corrections in eV/atom: 0.21
Calculated volume in Å³/atom: 24.70
Fermi-level density of states in states/eV/cell: 2.646



Below is crystalline Hg2MoSe at its relaxed geometry, with properties calculated at the PBE level.

Cell lengths 3.0960, 3.0960, 9.2201 Å; angles 90.00, 90.00, 90.00 degrees
Space group P4mm (No. 99)
Symmetry-distinct sites (fractional):
Hg (0.0000, 0.0000, 0.0000) [1 per cell]
Hg (0.5000, 0.5000, 0.2882) [1 per cell]
Mo (0.0000, 0.0000, 0.5076) [1 per cell]
Se (0.5000, 0.5000, 0.6609) [1 per cell]

Results
Formation energy without anion corrections in eV/atom: 0.07
Calculated volume in Å³/atom: 22.09
Fermi-level density of states in states/eV/cell: 2.568



Below is crystalline HgMo2Se at its relaxed geometry, with properties calculated at the PBE level.

Cell lengths 5.6957, 8.8841, 2.9796 Å; angles 90.00, 109.83, 90.00 degrees
Space group C2/m (No. 12)
Symmetry-distinct sites (fractional):
Hg (0.0000, 0.0000, 0.0000) [2 per cell]
Mo (0.2500, 0.2500, 0.5000) [4 per cell]
Se (0.0000, 0.5000, 0.0000) [2 per cell]

Results
Formation energy without anion corrections in eV/atom: 0.74
Energy above the most stable polymorph in this dataset in meV/atom: 547
Calculated volume in Å³/atom: 17.73
Fermi-level density of states in states/eV/cell: 7.875



Below is crystalline HgMo2Se at its relaxed geometry, with properties calculated at the PBE level.

Cell lengths 3.1107, 3.1107, 7.0243 Å; angles 90.00, 90.00, 90.00 degrees
Space group P4/mmm (No. 123)
Symmetry-distinct sites (fractional):
Hg (0.0000, 0.0000, 0.0000) [1 per cell]
Mo (0.5000, 0.5000, 0.2941) [2 per cell]
Se (0.0000, 0.0000, 0.5000) [1 per cell]

Results
Formation energy without anion corrections in eV/atom: 0.39
Energy above the most stable polymorph in this dataset in meV/atom: 197
Calculated volume in Å³/atom: 16.99
Fermi-level density of states in states/eV/cell: 4.048



Below is crystalline HgMo2Se at its relaxed geometry, with properties calculated at the PBE level.

Cell lengths 3.1857, 3.1857, 7.6963 Å; angles 90.00, 90.00, 90.00 degrees
Space group P4mm (No. 99)
Symmetry-distinct sites (fractional):
Hg (0.0000, 0.0000, 0.0000) [1 per cell]
Mo (0.0000, 0.0000, 0.4485) [1 per cell]
Mo (0.5000, 0.5000, 0.2548) [1 per cell]
Se (0.5000, 0.5000, 0.6289) [1 per cell]

Results
Formation energy without anion corrections in eV/atom: 0.19
Energy above the most stable polymorph in this dataset in meV/atom: 0
Calculated volume in Å³/atom: 19.53
Fermi-level density of states in states/eV/cell: 1.899



Below is crystalline HgMo2Se at its relaxed geometry, with properties calculated at the PBE level.

Cell lengths 6.5895, 6.5895, 6.5895 Å; angles 90.00, 90.00, 90.00 degrees
Space group F-43m (No. 216)
Symmetry-distinct sites (fractional):
Hg (0.0000, 0.0000, 0.0000) [4 per cell]
Mo (0.0000, 0.0000, 0.5000) [4 per cell]
Mo (0.2500, 0.2500, 0.2500) [4 per cell]
Se (0.2500, 0.2500, 0.7500) [4 per cell]

Results
Formation energy without anion corrections in eV/atom: 0.72
Energy above the most stable polymorph in this dataset in meV/atom: 525
Calculated volume in Å³/atom: 17.88
Fermi-level density of states in states/eV/cell: 3.154



Below is crystalline Hg2MoSe at its relaxed geometry, with properties calculated at the PBE level.

Cell lengths 3.2041, 3.2041, 30.1064 Å; angles 90.00, 90.00, 120.00 degrees
Space group R3m (No. 160, hexagonal axes)
Symmetry-distinct sites (fractional):
Hg (0.0000, 0.0000, 0.0000) [3 per cell]
Hg (0.0000, 0.0000, 0.2365) [3 per cell]
Mo (0.0000, 0.0000, 0.4923) [3 per cell]
Se (0.0000, 0.0000, 0.7704) [3 per cell]

Results
Formation energy without anion corrections in eV/atom: -0.01
Calculated volume in Å³/atom: 22.31
Fermi-level density of states in states/eV/cell: 4.012



Below is crystalline HgMo2Se at its relaxed geometry, with properties calculated at the PBE level.

Cell lengths 6.4687, 6.4687, 6.4687 Å; angles 90.00, 90.00, 90.00 degrees
Space group Fm-3m (No. 225)
Symmetry-distinct sites (fractional):
Hg (0.0000, 0.0000, 0.0000) [4 per cell]
Mo (0.2500, 0.2500, 0.2500) [8 per cell]
Se (0.0000, 0.0000, 0.5000) [4 per cell]

Results
Formation energy without anion corrections in eV/atom: 0.62
Energy above the most stable polymorph in this dataset in meV/atom: 423
Calculated volume in Å³/atom: 16.92
Fermi-level density of states in states/eV/cell: 15.388



Below is crystalline HgMo2Se at its relaxed geometry, with properties calculated at the PBE level.

Cell lengths 3.0319, 3.0319, 26.0939 Å; angles 90.00, 90.00, 120.00 degrees
Space group R-3m (No. 166, hexagonal axes)
Symmetry-distinct sites (fractional):
Hg (0.0000, 0.0000, 0.0000) [3 per cell]
Mo (0.0000, 0.0000, 0.2412) [6 per cell]
Se (0.0000, 0.0000, 0.5000) [3 per cell]

Results
Formation energy without anion corrections in eV/atom: 0.39
Energy above the most stable polymorph in this dataset in meV/atom: 194
Calculated volume in Å³/atom: 17.31
Fermi-level density of states in states/eV/cell: 7.606